1.
# RbSbI2 (PBE, optimized geometry)
# Raw formation energy = -1.06 eV/f.u.
# Space-group type = Fm-3m, No. 225
data_RbSbI2
_chemical_formula_sum 'Rb1 Sb1 I2'
_cell_length_a 6.0899
_cell_length_b 6.0899
_cell_length_c 6.0899
_cell_angle_alpha 60.00
_cell_angle_beta 60.00
_cell_angle_gamma 60.00
_symmetry_space_group_name_H-M 'P 1'
_symmetry_Int_Tables_number 1
loop_
_symmetry_equiv_pos_as_xyz
'x,y,z'
loop_
_atom_site_label
_atom_site_fract_x
_atom_site_fract_y
_atom_site_fract_z
Rb1 0.0000 0.0000 0.0000
I1 0.2500 0.2500 0.2500
Sb1 0.5000 0.5000 0.5000
I2 0.7500 0.7500 0.7500

2.
# Rb2Sb2I7 (PBE, optimized geometry)
# Raw formation energy = -7.27 eV/f.u.
# Space-group type = C2/m, No. 12
data_Rb2Sb2I7
_chemical_formula_sum 'Rb2 Sb2 I7'
_cell_length_a 5.1258
_cell_length_b 11.1719
_cell_length_c 11.1719
_cell_angle_alpha 117.48
_cell_angle_beta 99.42
_cell_angle_gamma 99.42
_symmetry_space_group_name_H-M 'P 1'
_symmetry_Int_Tables_number 1
loop_
_symmetry_equiv_pos_as_xyz
'x,y,z'
loop_
_atom_site_label
_atom_site_fract_x
_atom_site_fract_y
_atom_site_fract_z
Sb1 0.1870 0.1941 0.1941
I1 0.5000 0.0000 0.0000
Sb2 0.8130 0.8059 0.8059
I2 0.7217 0.3663 0.3663
I3 0.2783 0.6337 0.6337
I4 0.7950 0.9339 0.6182
I5 0.2050 0.0661 0.3818
I6 0.7950 0.6182 0.9339
Rb1 0.0000 0.3073 0.6927
Rb2 0.0000 0.6927 0.3073
I7 0.2050 0.3818 0.0661

3.
# Rb2SbI5 (PBE, optimized geometry)
# Raw formation energy = -7.20 eV/f.u.
# Space-group type = I4mm, No. 107
data_Rb2SbI5
_chemical_formula_sum 'Rb2 Sb1 I5'
_cell_length_a 8.8782
_cell_length_b 8.8782
_cell_length_c 8.1550
_cell_angle_alpha 122.98
_cell_angle_beta 122.98
_cell_angle_gamma 90.00
_symmetry_space_group_name_H-M 'P 1'
_symmetry_Int_Tables_number 1
loop_
_symmetry_equiv_pos_as_xyz
'x,y,z'
loop_
_atom_site_label
_atom_site_fract_x
_atom_site_fract_y
_atom_site_fract_z
I1 0.7660 0.7660 0.0161
I2 0.2501 0.2501 0.0161
Sb1 0.9984 0.9984 0.9968
Rb1 0.7566 0.2566 0.5131
I3 0.7660 0.2501 0.0161
Rb2 0.2566 0.7566 0.5131
I4 0.7333 0.7333 0.4667
I5 0.2501 0.7659 0.0161

4.
# Rb2SbI5 (PBE, optimized geometry)
# Raw formation energy = -7.16 eV/f.u.
# Space-group type = P1, No. 1
data_Rb2SbI5
_chemical_formula_sum 'Rb2 Sb1 I5'
_cell_length_a 7.1373
_cell_length_b 8.7385
_cell_length_c 9.6003
_cell_angle_alpha 94.82
_cell_angle_beta 111.87
_cell_angle_gamma 114.26
_symmetry_space_group_name_H-M 'P 1'
_symmetry_Int_Tables_number 1
loop_
_symmetry_equiv_pos_as_xyz
'x,y,z'
loop_
_atom_site_label
_atom_site_fract_x
_atom_site_fract_y
_atom_site_fract_z
I1 0.1675 0.3387 0.8909
I2 0.5057 0.0316 0.0315
I3 0.9931 0.7162 0.1640
I4 0.7561 0.7846 0.7036
Rb1 0.5387 0.6994 0.2729
I5 0.3149 0.2697 0.3509
Rb2 0.6206 0.3550 0.7816
Sb1 0.1032 0.0277 0.0277

5.
# Rb5Sb2I12 (PBE, optimized geometry)
# Raw formation energy = -16.64 eV/f.u.
# Space-group type = C2/m, No. 12
data_Rb5Sb2I12
_chemical_formula_sum 'Rb5 Sb2 I12'
_cell_length_a 8.6837
_cell_length_b 11.1961
_cell_length_c 12.0047
_cell_angle_alpha 106.84
_cell_angle_beta 90.00
_cell_angle_gamma 112.82
_symmetry_space_group_name_H-M 'P 1'
_symmetry_Int_Tables_number 1
loop_
_symmetry_equiv_pos_as_xyz
'x,y,z'
loop_
_atom_site_label
_atom_site_fract_x
_atom_site_fract_y
_atom_site_fract_z
I1 0.5870 0.7093 0.4318
I2 0.5922 0.6920 0.9276
Sb1 0.7490 0.0000 0.0000
I3 0.8777 0.2907 0.5682
I4 0.0060 0.0120 0.1820
Rb1 0.2965 0.5929 0.6462
I5 0.0998 0.6920 0.9276
Rb2 0.7035 0.4071 0.3538
I6 0.1223 0.7093 0.4318
I7 0.4951 0.9903 0.8127
I8 0.9940 0.9880 0.8180
Rb3 0.3096 0.6191 0.1603
Rb4 0.0000 0.0000 0.5000
I9 0.9002 0.3080 0.0724
I10 0.4130 0.2907 0.5682
Sb2 0.2510 0.0000 0.0000
I11 0.5049 0.0097 0.1873
I12 0.4078 0.3080 0.0724
Rb5 0.6904 0.3809 0.8397

6.
# RbSb3I (PBE, optimized geometry)
# Raw formation energy = 6.91 eV/f.u.
# Space-group type = Pm-3m, No. 221
data_RbSb3I
_chemical_formula_sum 'Rb1 Sb3 I1'
_cell_length_a 6.3026
_cell_length_b 6.3026
_cell_length_c 6.3026
_cell_angle_alpha 90.00
_cell_angle_beta 90.00
_cell_angle_gamma 90.00
_symmetry_space_group_name_H-M 'P 1'
_symmetry_Int_Tables_number 1
loop_
_symmetry_equiv_pos_as_xyz
'x,y,z'
loop_
_atom_site_label
_atom_site_fract_x
_atom_site_fract_y
_atom_site_fract_z
Sb1 0.0000 0.0000 0.5000
Sb2 0.5000 0.0000 0.0000
I1 0.5000 0.5000 0.5000
Rb1 0.0000 0.0000 0.0000
Sb3 0.0000 0.5000 0.0000

Copy entry 6 word for word.
# RbSb3I (PBE, optimized geometry)
# Raw formation energy = 6.91 eV/f.u.
# Space-group type = Pm-3m, No. 221
data_RbSb3I
_chemical_formula_sum 'Rb1 Sb3 I1'
_cell_length_a 6.3026
_cell_length_b 6.3026
_cell_length_c 6.3026
_cell_angle_alpha 90.00
_cell_angle_beta 90.00
_cell_angle_gamma 90.00
_symmetry_space_group_name_H-M 'P 1'
_symmetry_Int_Tables_number 1
loop_
_symmetry_equiv_pos_as_xyz
'x,y,z'
loop_
_atom_site_label
_atom_site_fract_x
_atom_site_fract_y
_atom_site_fract_z
Sb1 0.0000 0.0000 0.5000
Sb2 0.5000 0.0000 0.0000
I1 0.5000 0.5000 0.5000
Rb1 0.0000 0.0000 0.0000
Sb3 0.0000 0.5000 0.0000

Question: Which value of raw formation energy does entry 2 give?
Answer: -7.27 eV/f.u.